# NaCaBr2F

A geometry-optimized NaCaBr2F structure (PBE, Alexandria).

Properties
V ... 28.8 Å³ per atom
ρ ... 2.8 g/cm³
Uncorrected formation energy ... -2.26 eV/atom
Symmetry ... No. 123

Geometry as extended XYZ:
```
5
Lattice="5.777 0.000 0.000 0.000 5.777 0.000 0.000 0.000 4.314" Properties=species:S:1:pos:R:3 pbc="T T T"
Na 0.000 0.000 0.000
Ca 2.889 2.889 2.157
Br 0.000 2.889 2.157
Br 2.889 0.000 2.157
F 2.889 2.889 0.000
```